Computed, not measured: a relaxed structure of K2BiHF at the GGA-PBE level of DFT.

Structure (extended XYZ):
```
5
Lattice="4.792 0.000 0.000 0.000 4.792 0.000 0.000 0.000 6.232" Properties=species:S:1:pos:R:3 pbc="T T T"
K 0.000 2.396 0.000
K 2.396 0.000 0.000
Bi 0.000 0.000 3.116
H 2.396 2.396 3.116
F 2.396 2.396 0.000
```

space-group type	P4/mmm, No. 123
final energy	-14.037	eV for the cell shown
spin magnetization	0.0	μB per cell